This record from Alexandria via LeMat-Bulk describes a relaxed SmDyScAl crystal. The functional is PBE.

Output
Formation enthalpy at 0 K (eV/atom): -0.1032

Unit cell a=7.4555 b=7.4555 c=7.4555 alpha=90.00 beta=90.00 gamma=90.00
Space group F-43m (No. 216)
Symmetry-distinct sites (fractional):
Sm 0.0000 0.0000 0.0000 x4
Dy 0.0000 0.0000 0.5000 x4
Sc 0.2500 0.2500 0.7500 x4
Al 0.2500 0.2500 0.2500 x4



This record from Alexandria via LeMat-Bulk describes a relaxed Ac3La4Pd4 crystal. The functional is PBE.

Output
Formation enthalpy at 0 K (eV/atom): -0.5218

Unit cell a=5.0486 b=8.0226 c=16.3423 alpha=90.00 beta=90.00 gamma=90.00
Space group Immm (No. 71)
Symmetry-distinct sites (fractional):
Ac 0.0000 0.0000 0.0000 x2
Ac 0.0000 0.5000 0.1037 x4
La 0.0000 0.2814 0.3300 x8
Pd 0.0000 0.0000 0.2055 x4
Pd 0.0000 0.1821 0.5000 x4



This record from Alexandria via LeMat-Bulk describes a relaxed Tb4YHo15 crystal. The functional is PBE.

Output
Formation enthalpy at 0 K (eV/atom): 0.0194

Unit cell a=4.9992 b=4.9992 c=24.9884 alpha=90.00 beta=90.00 gamma=90.00
Space group P4/mmm (No. 123)
Symmetry-distinct sites (fractional):
Tb 0.0000 0.0000 0.0999 x2
Tb 0.0000 0.0000 0.2998 x2
Y 0.0000 0.0000 0.5000 x1
Ho 0.0000 0.5000 0.0000 x2
Ho 0.0000 0.5000 0.1999 x4
Ho 0.0000 0.5000 0.3996 x4
Ho 0.5000 0.5000 0.0999 x2
Ho 0.5000 0.5000 0.2998 x2
Ho 0.5000 0.5000 0.5000 x1



This record from Alexandria via LeMat-Bulk describes a relaxed La2DyEr crystal. The functional is PBE.

Output
Offset from the most stable computed form (meV per atom): 156
Formation enthalpy at 0 K (eV/atom): 0.1767

Unit cell a=3.5232 b=3.5232 c=37.9903 alpha=90.00 beta=90.00 gamma=120.00
Space group R-3m (No. 166, hexagonal axes)
Symmetry-distinct sites (fractional):
La 0.0000 0.0000 0.0873 x6
Dy 0.0000 0.0000 0.5000 x3
Er 0.0000 0.0000 0.0000 x3



This record from Alexandria via LeMat-Bulk describes a relaxed Co5Pb4 crystal. The functional is PBE.

Output
Formation enthalpy at 0 K (eV/atom): 0.6559

Unit cell a=7.8276 b=7.8276 c=5.8042 alpha=90.00 beta=90.00 gamma=120.00
Space group P6_3/mcm (No. 193)
Symmetry-distinct sites (fractional):
Co 0.0000 0.2932 0.2500 x6
Co 0.3333 0.6667 0.0000 x4
Pb 0.0000 0.0000 0.0000 x2
Pb 0.0000 0.3802 0.7500 x6



This record from Alexandria via LeMat-Bulk describes a relaxed AcNdSm2Dy4 crystal. The functional is PBE.

Output
Formation enthalpy at 0 K (eV/atom): 0.4252

Unit cell a=13.8513 b=13.4752 c=6.9454 alpha=90.00 beta=120.09 gamma=90.00
Space group C2/c (No. 15)
Symmetry-distinct sites (fractional):
Ac 0.2500 0.2500 0.0000 x4
Nd 0.0000 0.0000 0.0000 x4
Sm 0.0000 0.5000 0.0000 x4
Sm 0.2500 0.2500 0.5000 x4
Dy 0.9999 0.2516 0.0131 x8
Dy 0.2483 0.4916 0.4976 x8